Crystalline Zn2CoAg at its relaxed geometry. Source: Alexandria via LeMat-Bulk, functional PBE.

```
Zn2CoAg
1.0
8.818 0.018 0.010
8.378 2.750 0.010
8.378 1.348 2.397
Ag Co Zn
1 1 2
Direct
0.250 0.250 0.250
0.750 0.750 0.750
0.007 0.007 0.007
0.493 0.493 0.493
```

crystal system	trigonal
Fermi-level density of states	2.34	states/eV per cell
SG	R-3m
distance to the lowest polymorph of the same formula	0.188	eV per formula unit
energy of formation	0.14	eV per formula unit
E_tot	-3.0901	eV per atom